No. 1
Compound: Pr3Y6Mg
Source: Alexandria via LeMat-Bulk
Functional: PBE
Structure: optimized geometry

Cell and atoms, written as CIF:
```
data_Pr3Y6Mg
_chemical_formula_sum 'Pr6 Y12 Mg2'
_symmetry_space_group_name_H-M 'P 1'
_symmetry_Int_Tables_number 1
_cell_length_a 5.150
_cell_length_b 11.150
_cell_length_c 11.405
_cell_angle_alpha 91.67
_cell_angle_beta 90.00
_cell_angle_gamma 90.00
loop_
_symmetry_equiv_pos_as_xyz
'x,y,z'
loop_
_atom_site_label
_atom_site_fract_x
_atom_site_fract_y
_atom_site_fract_z
Pr1 0.250 0.552 0.402
Pr2 0.750 0.448 0.598
Pr3 0.250 0.345 0.793
Pr4 0.750 0.655 0.207
Pr5 0.250 0.754 0.008
Pr6 0.750 0.246 0.992
Y1 0.250 0.448 0.102
Y2 0.750 0.552 0.898
Y3 0.250 0.152 0.190
Y4 0.750 0.848 0.810
Y5 0.250 0.658 0.702
Y6 0.750 0.342 0.298
Y7 0.250 0.235 0.494
Y8 0.750 0.765 0.506
Y9 0.250 0.863 0.314
Y10 0.750 0.137 0.686
Y11 0.250 0.046 0.894
Y12 0.750 0.954 0.106
Mg1 0.250 0.947 0.607
Mg2 0.750 0.053 0.393
```

## Properties
* formation energy: 0.2 eV/f.u.
* VASP energy: -5.449 eV/atom

No. 2
Compound: Pr12Y3Mg
Source: Alexandria via LeMat-Bulk
Functional: PBE
Structure: optimized geometry

Cell and atoms, written as CIF:
```
data_Pr12Y3Mg
_chemical_formula_sum 'Pr12 Y3 Mg1'
_symmetry_space_group_name_H-M 'P 1'
_symmetry_Int_Tables_number 1
_cell_length_a 5.166
_cell_length_b 5.166
_cell_length_c 20.773
_cell_angle_alpha 90.00
_cell_angle_beta 90.00
_cell_angle_gamma 90.00
loop_
_symmetry_equiv_pos_as_xyz
'x,y,z'
loop_
_atom_site_label
_atom_site_fract_x
_atom_site_fract_y
_atom_site_fract_z
Pr1 0.500 0.500 0.000
Pr2 0.500 0.500 0.247
Pr3 0.500 0.500 0.500
Pr4 0.500 0.500 0.753
Pr5 0.500 0.000 0.122
Pr6 0.500 0.000 0.374
Pr7 0.500 0.000 0.626
Pr8 0.500 0.000 0.878
Pr9 0.000 0.500 0.122
Pr10 0.000 0.500 0.374
Pr11 0.000 0.500 0.626
Pr12 0.000 0.500 0.878
Y1 0.000 0.000 0.248
Y2 0.000 0.000 0.500
Y3 0.000 0.000 0.752
Mg1 0.000 0.000 0.000
```

## Properties
* formation energy: 0.1 eV/f.u.
* VASP energy: -4.891 eV/atom

No. 3
Compound: PrY3Mg8
Source: Alexandria via LeMat-Bulk
Functional: PBE
Structure: optimized geometry

Cell and atoms, written as CIF:
```
data_PrY3Mg8
_chemical_formula_sum 'Pr1 Y3 Mg8'
_symmetry_space_group_name_H-M 'P 1'
_symmetry_Int_Tables_number 1
_cell_length_a 6.081
_cell_length_b 6.081
_cell_length_c 10.500
_cell_angle_alpha 73.17
_cell_angle_beta 73.17
_cell_angle_gamma 60.00
loop_
_symmetry_equiv_pos_as_xyz
'x,y,z'
loop_
_atom_site_label
_atom_site_fract_x
_atom_site_fract_y
_atom_site_fract_z
Pr1 0.875 0.875 0.374
Y1 0.375 0.375 0.875
Y2 0.001 0.001 0.998
Y3 0.499 0.499 0.502
Mg1 0.940 0.438 0.185
Mg2 0.435 0.937 0.690
Mg3 0.438 0.438 0.185
Mg4 0.937 0.937 0.690
Mg5 0.188 0.188 0.437
Mg6 0.687 0.687 0.938
Mg7 0.438 0.940 0.185
Mg8 0.937 0.435 0.690
```

## Properties
* formation energy: -1.2 eV/f.u.
* VASP energy: -3.174 eV/atom

No. 4
Compound: Pr6Y12Mg
Source: Alexandria via LeMat-Bulk
Functional: PBE
Structure: optimized geometry

Cell and atoms, written as CIF:
```
data_Pr6Y12Mg
_chemical_formula_sum 'Pr6 Y12 Mg1'
_symmetry_space_group_name_H-M 'P 1'
_symmetry_Int_Tables_number 1
_cell_length_a 8.782
_cell_length_b 8.782
_cell_length_c 8.782
_cell_angle_alpha 97.58
_cell_angle_beta 97.58
_cell_angle_gamma 97.58
loop_
_symmetry_equiv_pos_as_xyz
'x,y,z'
loop_
_atom_site_label
_atom_site_fract_x
_atom_site_fract_y
_atom_site_fract_z
Pr1 0.135 0.135 0.408
Pr2 0.865 0.592 0.865
Pr3 0.592 0.865 0.865
Pr4 0.865 0.865 0.592
Pr5 0.135 0.408 0.135
Pr6 0.408 0.135 0.135
Y1 0.592 0.167 0.592
Y2 0.167 0.592 0.592
Y3 0.592 0.592 0.167
Y4 0.408 0.833 0.408
Y5 0.833 0.408 0.408
Y6 0.408 0.408 0.833
Y7 0.262 0.000 0.738
Y8 0.262 0.738 0.000
Y9 0.000 0.262 0.738
Y10 0.738 0.000 0.262
Y11 0.738 0.262 0.000
Y12 0.000 0.738 0.262
Mg1 0.000 0.000 0.000
```

## Properties
* formation energy: 2.5 eV/f.u.
* ΔE to the lowest computed polymorph: 0.017 eV per atom
* VASP energy: -5.545 eV/atom

No. 5
Compound: Pr2Y3Mg
Source: Alexandria via LeMat-Bulk
Functional: PBE
Structure: optimized geometry

Cell and atoms, written as CIF:
```
data_Pr2Y3Mg
_chemical_formula_sum 'Pr2 Y3 Mg1'
_symmetry_space_group_name_H-M 'P 1'
_symmetry_Int_Tables_number 1
_cell_length_a 3.671
_cell_length_b 3.671
_cell_length_c 14.301
_cell_angle_alpha 90.00
_cell_angle_beta 90.00
_cell_angle_gamma 90.00
loop_
_symmetry_equiv_pos_as_xyz
'x,y,z'
loop_
_atom_site_label
_atom_site_fract_x
_atom_site_fract_y
_atom_site_fract_z
Pr1 0.500 0.500 0.821
Pr2 0.500 0.500 0.179
Y1 0.000 0.000 0.000
Y2 0.000 0.000 0.644
Y3 0.000 0.000 0.356
Mg1 0.500 0.500 0.500
```

## Properties
* formation energy: -0.2 eV/f.u.
* VASP energy: -5.116 eV/atom

No. 6
Compound: PrY3Mg6
Source: Alexandria via LeMat-Bulk
Functional: PBE
Structure: optimized geometry

Cell and atoms, written as CIF:
```
data_PrY3Mg6
_chemical_formula_sum 'Pr2 Y6 Mg12'
_symmetry_space_group_name_H-M 'P 1'
_symmetry_Int_Tables_number 1
_cell_length_a 5.328
_cell_length_b 9.311
_cell_length_c 11.373
_cell_angle_alpha 106.39
_cell_angle_beta 90.00
_cell_angle_gamma 90.00
loop_
_symmetry_equiv_pos_as_xyz
'x,y,z'
loop_
_atom_site_label
_atom_site_fract_x
_atom_site_fract_y
_atom_site_fract_z
Pr1 0.250 0.945 0.606
Pr2 0.750 0.055 0.394
Y1 0.250 0.542 0.395
Y2 0.750 0.458 0.605
Y3 0.250 0.351 0.797
Y4 0.750 0.649 0.203
Y5 0.250 0.753 0.001
Y6 0.750 0.247 0.999
Mg1 0.250 0.445 0.099
Mg2 0.750 0.555 0.901
Mg3 0.250 0.148 0.195
Mg4 0.750 0.852 0.805
Mg5 0.250 0.654 0.705
Mg6 0.750 0.346 0.295
Mg7 0.250 0.251 0.494
Mg8 0.750 0.749 0.506
Mg9 0.250 0.852 0.296
Mg10 0.750 0.148 0.704
Mg11 0.250 0.051 0.905
Mg12 0.750 0.949 0.095
```

## Properties
* formation energy: -0.9 eV/f.u.
* VASP energy: -3.463 eV/atom